Here is a PBEsol-optimized structure of BaSi2W from Alexandria. Energies are from SCAN.

Raw formation energy in eV/atom: 1.034
Relative energy among the computed polymorphs in eV/f.u.: 3.15
Space-group type: C2/m

Lattice parameters (Å, degrees): 7.2965 7.6678 2.8982 90.00 104.57 90.00
Atoms (fractional coordinates):
Ba: 0.0000 0.0000 0.0000
Ba: 0.5000 0.5000 0.0000
Si: 0.2500 0.2500 0.5000
Si: 0.2500 0.7500 0.5000
Si: 0.7500 0.2500 0.5000
Si: 0.7500 0.7500 0.5000
W: 0.0000 0.5000 0.0000
W: 0.5000 0.0000 0.0000